Record 1
VASP calculation (GGA-PBE) on a relaxed structure of Ac5MgAg4.

abc: 3.9860 3.9860 20.0191
angles: 90.00 90.00 90.00
Last column: nearest neighbours and their distance in Å.
Sites, in units of the cell vectors:
Ac 0.0000 0.0000 0.0000  8 Ag 3.43
Ac 0.0000 0.0000 0.1970  8 Ag 3.45-3.46
Ac 0.0000 0.0000 0.3934  4 Ag 3.42, 4 Mg 3.54
Ac 0.0000 0.0000 0.6066  4 Ag 3.42, 4 Mg 3.54
Ac 0.0000 0.0000 0.8030  8 Ag 3.45-3.46
Mg 0.5000 0.5000 0.5000  8 Ac 3.54
Ag 0.5000 0.5000 0.0980  8 Ac 3.43-3.45
Ag 0.5000 0.5000 0.2970  8 Ac 3.42-3.46
Ag 0.5000 0.5000 0.7030  8 Ac 3.42-3.46
Ag 0.5000 0.5000 0.9020  8 Ac 3.43-3.45

SG: P4/mmm
N(E_F), states/eV per cell: 6.96
Theoretical density, g/cm³: 8.3
ΔH_f (0 K), meV per atom: -225
VASP energy, eV per cell: -35.8



Record 2
VASP calculation (GGA-PBE) on a relaxed structure of AcNdMgAg.

abc: 7.8797 7.8797 7.8797
angles: 90.00 90.00 90.00
Last column: nearest neighbours and their distance in Å.
Sites, in units of the cell vectors:
Ac 0.0000 0.0000 0.0000  4 Mg 3.41, 4 Ag 3.41
Ac 0.0000 0.5000 0.5000  4 Mg 3.41, 4 Ag 3.41
Ac 0.5000 0.0000 0.5000  4 Mg 3.41, 4 Ag 3.41
Ac 0.5000 0.5000 0.0000  4 Mg 3.41, 4 Ag 3.41
Nd 0.0000 0.0000 0.5000  4 Ag 3.41, 4 Mg 3.41
Nd 0.0000 0.5000 0.0000  4 Ag 3.41, 4 Mg 3.41
Nd 0.5000 0.0000 0.0000  4 Ag 3.41, 4 Mg 3.41
Nd 0.5000 0.5000 0.5000  4 Ag 3.41, 4 Mg 3.41
Mg 0.2500 0.2500 0.2500  4 Nd 3.41, 4 Ac 3.41
Mg 0.2500 0.7500 0.7500  4 Nd 3.41, 4 Ac 3.41
Mg 0.7500 0.2500 0.7500  4 Nd 3.41, 4 Ac 3.41
Mg 0.7500 0.7500 0.2500  4 Nd 3.41, 4 Ac 3.41
Ag 0.2500 0.2500 0.7500  4 Ac 3.41, 4 Nd 3.41
Ag 0.2500 0.7500 0.2500  4 Ac 3.41, 4 Nd 3.41
Ag 0.7500 0.2500 0.2500  4 Ac 3.41, 4 Nd 3.41
Ag 0.7500 0.7500 0.7500  4 Ac 3.41, 4 Nd 3.41

ΔE to the lowest computed polymorph, meV/atom: 58.7
SG: F-43m
N(E_F), states/eV per cell: 17.37
Theoretical density, g/cm³: 6.8
ΔH_f (0 K), meV per atom: -113
VASP energy, eV per cell: -55.1



Record 3
VASP calculation (GGA-PBE) on a relaxed structure of AcNdMgAg.

abc: 3.9583 3.9583 7.7071
angles: 90.00 90.00 90.00
Last column: nearest neighbours and their distance in Å.
Sites, in units of the cell vectors:
Ac 0.0000 0.0000 0.0000  4 Ag 3.47, 4 Mg 3.53, 1 Nd 3.72
Nd 0.0000 0.0000 0.5171  4 Ag 3.26, 4 Mg 3.34
Mg 0.5000 0.5000 0.2798  4 Nd 3.34, 1 Ag 3.50, 4 Ac 3.53
Ag 0.5000 0.5000 0.7340  4 Nd 3.26, 4 Ac 3.47, 1 Mg 3.50

ΔE to the lowest computed polymorph, meV/atom: 0.0
SG: P4mm
N(E_F), states/eV per cell: 2.76
Theoretical density, g/cm³: 6.9
ΔH_f (0 K), meV per atom: -172
VASP energy, eV per cell: -14.0



Record 4
VASP calculation (GGA-PBE) on a relaxed structure of AcMgNiAg.

abc: 7.2115 7.2115 7.2115
angles: 90.00 90.00 90.00
Last column: nearest neighbours and their distance in Å.
Sites, in units of the cell vectors:
Ac 0.0000 0.0000 0.0000  4 Ag 3.12, 4 Ni 3.12
Ac 0.0000 0.5000 0.5000  4 Ag 3.12, 4 Ni 3.12
Ac 0.5000 0.0000 0.5000  4 Ag 3.12, 4 Ni 3.12
Ac 0.5000 0.5000 0.0000  4 Ag 3.12, 4 Ni 3.12
Mg 0.0000 0.0000 0.5000  4 Ni 3.12, 4 Ag 3.12
Mg 0.0000 0.5000 0.0000  4 Ni 3.12, 4 Ag 3.12
Mg 0.5000 0.0000 0.0000  4 Ni 3.12, 4 Ag 3.12
Mg 0.5000 0.5000 0.5000  4 Ni 3.12, 4 Ag 3.12
Ni 0.2500 0.2500 0.7500  4 Ac 3.12, 4 Mg 3.12
Ni 0.2500 0.7500 0.2500  4 Ac 3.12, 4 Mg 3.12
Ni 0.7500 0.2500 0.2500  4 Ac 3.12, 4 Mg 3.12
Ni 0.7500 0.7500 0.7500  4 Ac 3.12, 4 Mg 3.12
Ag 0.2500 0.2500 0.2500  4 Mg 3.12, 4 Ac 3.12
Ag 0.2500 0.7500 0.7500  4 Ac 3.12, 4 Mg 3.12
Ag 0.7500 0.2500 0.7500  4 Ac 3.12, 4 Mg 3.12
Ag 0.7500 0.7500 0.2500  4 Ac 3.12, 4 Mg 3.12

SG: F-43m
N(E_F), states/eV per cell: 12.36
Theoretical density, g/cm³: 7.4
ΔH_f (0 K), meV per atom: -84
VASP energy, eV per cell: -58.7



Record 5
VASP calculation (GGA-PBE) on a relaxed structure of Ac2MgAgO6.

abc: 5.8773 5.8815 9.9355
angles: 90.00 125.61 90.00
Last column: nearest neighbours and their distance in Å.
Sites, in units of the cell vectors:
Ac 0.2401 0.0396 0.2480  6 O 2.52-2.78
Ac 0.2401 0.4604 0.7480  6 O 2.52-2.78
Ac 0.7599 0.5396 0.2520  6 O 2.52-2.78
Ac 0.7599 0.9604 0.7520  6 O 2.52-2.78
Mg 0.0000 0.0000 0.5000  6 O 2.03-2.15
Mg 0.0000 0.5000 0.0000  6 O 2.03-2.15
Ag 0.5000 0.0000 0.0000  6 O 2.06-2.24
Ag 0.5000 0.5000 0.5000  6 O 2.06-2.24
O 0.1521 0.2233 0.9546  1 Mg 2.03, 1 Ag 2.24
O 0.1521 0.2767 0.4546  1 Mg 2.03, 1 Ag 2.24
O 0.2505 0.7146 0.9583  1 Ag 2.11, 1 Mg 2.15
O 0.2505 0.7854 0.4583  1 Ag 2.11, 1 Mg 2.15
O 0.3328 0.0269 0.7514  1 Ag 2.06, 1 Mg 2.10
O 0.3328 0.4731 0.2514  1 Ag 2.06, 1 Mg 2.10
O 0.6672 0.5269 0.7486  1 Ag 2.06, 1 Mg 2.10
O 0.6672 0.9731 0.2486  1 Ag 2.06, 1 Mg 2.10
O 0.7495 0.2146 0.5417  1 Ag 2.11, 1 Mg 2.15
O 0.7495 0.2854 0.0417  1 Ag 2.11, 1 Mg 2.15
O 0.8479 0.7233 0.5454  1 Mg 2.03, 1 Ag 2.24
O 0.8479 0.7767 0.0454  1 Mg 2.03, 1 Ag 2.24

Formation energy (no corrections), eV/atom: -2.175
SG: P2_1/c
N(E_F), states/eV per cell: 2.58
Theoretical density, g/cm³: 8.1
VASP energy, eV per cell: -128.3



Record 6
VASP calculation (GGA-PBE) on a relaxed structure of Ac2MgAg2O6.

abc: 6.4614 6.4614 6.4614
angles: 57.28 57.28 57.28
Last column: nearest neighbours and their distance in Å.
Sites, in units of the cell vectors:
Ac 0.2089 0.2089 0.2089  3 O 2.42
Ac 0.7911 0.7911 0.7911  3 O 2.42
Mg 0.0000 0.0000 0.0000  6 O 2.10
Ag 0.4124 0.4124 0.4124  3 O 2.08
Ag 0.5876 0.5876 0.5876  3 O 2.08
O 0.1888 0.7688 0.7688  1 Ag 2.08, 1 Mg 2.10
O 0.2312 0.2312 0.8112  1 Ag 2.08, 1 Mg 2.10
O 0.2312 0.8112 0.2312  1 Ag 2.08, 1 Mg 2.10
O 0.7688 0.1888 0.7688  1 Ag 2.08, 1 Mg 2.10
O 0.7688 0.7688 0.1888  1 Ag 2.08, 1 Mg 2.10
O 0.8112 0.2312 0.2312  1 Ag 2.08, 1 Mg 2.10

Formation energy (no corrections), eV/atom: -1.670
SG: R-3m
N(E_F), states/eV per cell: 5.98
Theoretical density, g/cm³: 7.3
VASP energy, eV per cell: -63.6



- What is the theoretical density in the fifth record?
  8.1 g/cm³



- What is the formula in the third record?
  AcNdMgAg